Record 1
DFT (GGA-PBE) results for a relaxed KDyMgF6 crystal.

The space group is Imma (No. 74) and the conventional cell measures 7.136, 7.547 and 10.211 Å, with angles of 90.00, 90.00 and 90.00 degrees. Symmetry generates all atoms from K at (0.000, 0.250, 0.087), Dy at (0.000, 0.000, 0.500), Mg at (0.250, 0.250, 0.750), F at (0.000, 0.250, 0.388), F at (0.000, 0.250, 0.666) and F at (0.231, 0.056, 0.884).

Its uncorrected formation energy is -3599 meV/atom. The calculation puts the magnetic moment at 0.00 Bohr magnetons per cell. For the total energy, the calculation gives -203.6 eV for the cell shown.

Record 2
DFT (GGA-PBE) results for a relaxed BiSeS crystal.

The space group is P2_1/m (No. 11) and the conventional cell measures 5.590, 4.200 and 7.104 Å, with angles of 90.00, 101.00 and 90.00 degrees. Symmetry generates all atoms from Bi at (0.002, 0.250, 0.256), Se at (0.313, 0.750, 0.129) and S at (0.291, 0.250, 0.621).

Its uncorrected formation energy is -140 meV/atom. The calculation puts the magnetic moment at 0.00 Bohr magnetons per cell. For the total energy, the calculation gives -23.8 eV for the cell shown.

Record 3
DFT (GGA-PBE) results for a relaxed Tl2AsOs crystal.

The space group is P4/mmm (No. 123) and the conventional cell measures 3.563, 3.563 and 6.529 Å, with angles of 90.00, 90.00 and 90.00 degrees. Symmetry generates all atoms from Tl at (0.000, 0.000, 0.234), As at (0.500, 0.500, 0.500) and Os at (0.500, 0.500, 0.000).

Its formation enthalpy at 0 K is 3.84 eV/f.u. The calculation puts the magnetic moment at 0.00 Bohr magnetons per cell. For the total energy, the calculation gives -16.8 eV for the cell shown.

Record 4
DFT (GGA-PBE) results for a relaxed CaCeNiRh crystal.

The space group is F-43m (No. 216) and the conventional cell measures 6.870, 6.870 and 6.870 Å, with angles of 90.00, 90.00 and 90.00 degrees. Symmetry generates all atoms from Ca at (0.000, 0.000, 0.000), Ce at (0.000, 0.000, 0.500), Ni at (0.250, 0.250, 0.250) and Rh at (0.250, 0.250, 0.750).

Its formation enthalpy at 0 K is -1.39 eV/f.u. The calculation puts the magnetic moment at 1.50 Bohr magnetons per cell. For the total energy, the calculation gives -89.8 eV for the cell shown.

Record 5
DFT (GGA-PBE) results for a relaxed SrFeOs crystal.

The space group is P-1 (No. 2) and the conventional cell measures 3.976, 4.599 and 9.717 Å, with angles of 81.17, 89.69 and 64.54 degrees. Symmetry generates all atoms from Sr at (0.187, 0.136, 0.194), Fe at (0.078, 0.344, 0.605) and Os at (0.349, 0.798, 0.523).

Its formation enthalpy at 0 K is 1.01 eV/f.u. The calculation puts the magnetic moment at 4.19 Bohr magnetons per cell. For the total energy, the calculation gives -40.7 eV for the cell shown.

Record 6
DFT (GGA-PBE) results for a relaxed YPd5Au crystal.

The space group is Imma (No. 74) and the conventional cell measures 5.777, 9.494 and 9.135 Å, with angles of 90.00, 90.00 and 90.00 degrees. Symmetry generates all atoms from Y at (0.000, 0.250, 0.090), Pd at (0.000, 0.004, 0.256), Pd at (0.000, 0.250, 0.448), Pd at (0.247, 0.000, 0.000) and Au at (0.250, 0.250, 0.750).

Its formation enthalpy at 0 K is -2.74 eV/f.u. The calculation puts the magnetic moment at 0.00 Bohr magnetons per cell. For the total energy, the calculation gives -153.8 eV for the cell shown.

Record 7
DFT (GGA-PBE) results for a relaxed TmPd3Au3 crystal.

The space group is P2/m (No. 10) and the conventional cell measures 6.550, 6.095 and 6.579 Å, with angles of 90.00, 91.57 and 90.00 degrees. Symmetry generates all atoms from Tm at (0.233, 0.000, 0.233), Pd at (0.000, 0.254, 0.500), Pd at (0.500, 0.253, 0.000), Pd at (0.500, 0.263, 0.500), Au at (0.219, 0.500, 0.219), Au at (0.225, 0.500, 0.775) and Au at (0.245, 0.000, 0.755).

Its formation enthalpy at 0 K is -3.03 eV/f.u. The calculation puts the magnetic moment at 0.00 Bohr magnetons per cell. For the total energy, the calculation gives -65.8 eV for the cell shown.

Record 8
DFT (GGA-PBE) results for a relaxed BaAlOs2 crystal.

The space group is I-42d (No. 122) and the conventional cell measures 4.894, 4.894 and 17.510 Å, with angles of 90.00, 90.00 and 90.00 degrees. Symmetry generates all atoms from Ba at (0.000, 0.000, 0.000), Al at (0.000, 0.000, 0.500) and Os at (0.022, 0.750, 0.625).

Its formation enthalpy at 0 K is 2.03 eV/f.u. The calculation puts the magnetic moment at 0.00 Bohr magnetons per cell. For the total energy, the calculation gives -104.4 eV for the cell shown.

Record 9
DFT (GGA-PBE) results for a relaxed Na2Sn2Pb5 crystal.

The space group is Ima2 (No. 46) and the conventional cell measures 15.418, 11.145 and 6.639 Å, with angles of 90.00, 90.00 and 90.00 degrees. Symmetry generates all atoms from Na at (0.124, 0.001, 0.000), Sn at (0.000, 0.000, 0.548), Sn at (0.250, 0.512, 0.928), Pb at (0.054, 0.238, 0.332), Pb at (0.142, 0.721, 0.141) and Pb at (0.250, 0.245, 0.611).

Its formation enthalpy at 0 K is -0.03 eV/f.u. The calculation puts the magnetic moment at 0.00 Bohr magnetons per cell. For the total energy, the calculation gives -116.9 eV for the cell shown.

Record 10
DFT (GGA-PBE) results for a relaxed Mg3Cu2Se4 crystal.

The space group is C2/m (No. 12) and the conventional cell measures 14.330, 3.788 and 7.562 Å, with angles of 90.00, 117.66 and 90.00 degrees. Symmetry generates all atoms from Mg at (0.000, 0.000, 0.000), Mg at (0.141, 0.000, 0.756), Cu at (0.183, 0.500, 0.417), Se at (0.008, 0.500, 0.748) and Se at (0.220, 0.000, 0.215).

Its uncorrected formation energy is -750 meV/atom. The calculation puts the magnetic moment at 0.00 Bohr magnetons per cell. For the total energy, the calculation gives -67.3 eV for the cell shown.